4
Lattice="-5.4357 6.6664 5.1423 -8.4131 3.1625 4.4326 -5.3609 2.9478 7.9374" Properties=species:S:1:pos:R:3 comment="CaLaTe2 (PBE, optimized geometry)" spacegroup="No. 166" formation_energy_uncorrected_kj_per_mol_atoms=-112.27 pbc="T T T"
Ca 0.0000 0.0000 0.0000
Te -2.0182 1.3423 1.8399
La -9.6048 6.3883 8.7561
Te -17.1915 11.4343 15.6724



20
Lattice="-1.9959 3.9048 -2.7610 -4.6248 -2.3374 0.0375 -6.0866 12.3946 21.9288" Properties=species:S:1:pos:R:3 comment="La15Ho4Sc (PBE, optimized geometry)" spacegroup="No. 123" e_form_kj_per_mol_atoms=1.2 pbc="T T T"
La -1.5925 3.1631 0.7616
La -4.1321 2.5369 6.5748
La -5.7429 5.7373 7.4023
La -6.5793 7.5203 15.3916
Ho -2.4321 4.9527 8.7624
La -6.9644 8.2247 11.8030
La -2.8176 5.6580 5.1755
Ho -1.2066 2.4572 4.3473
Ho -4.8799 9.9374 17.5815
Ho -3.6545 7.4420 13.1665
La -5.2648 10.6414 13.9923
La -4.0412 8.1497 9.5839
La -8.1874 10.7152 16.2094
La -2.9070 0.0420 2.1608
La -5.3557 5.0286 10.9832
La -4.5199 3.2467 2.9959
Sc 0.0000 0.0000 0.0000
La -3.3104 0.7837 -1.3618
La -6.4899 13.1363 18.4062
La -7.8044 10.0152 19.8055



16
Lattice="8.2096 0.0000 0.0000 0.0000 8.3781 0.1136 -4.1048 -4.1009 5.8081" Properties=species:S:1:pos:R:3 comment="Tm8Te4P3Pd (PBE, optimized geometry)" spacegroup="No. 166" formation_energy_uncorrected_kj_per_mol_atoms=-130.23 pbc="T T T"
Pd 0.0000 4.1891 0.0568
Tm 4.1048 3.9955 2.8215
Te -2.0524 -2.0504 2.9040
Tm 6.1365 2.3045 0.1912
Tm 4.1048 0.2747 3.0664
P -2.0524 2.1386 2.9608
P 2.0524 2.1386 2.9608
Tm 2.0318 1.9727 5.7304
Tm 2.0730 2.3045 0.1912
Te 0.0000 0.0000 0.0000
Te 4.1048 0.0000 0.0000
Tm 0.0000 0.2818 3.1002
Te 2.0524 -2.0504 2.9040
Tm 0.0000 4.0025 2.8553
Tm -2.0318 1.9727 5.7304
P 4.1048 4.1891 0.0568



5
Lattice="-1.8192 -4.5230 0.5368 0.9114 0.2049 4.8148 -4.5455 1.9207 0.7786" Properties=species:S:1:pos:R:3 comment="TiBSbI2 (PBE, optimized geometry)" spacegroup="No. 123" formation_energy_uncorrected_kj_per_mol_atoms=96.82 pbc="T T T"
Ti -2.7267 -1.1987 3.0652
Sb -2.2728 0.9603 0.3893
I 0.4557 0.1025 2.4074
I -0.9096 -2.2615 0.2684
B 0.0000 0.0000 0.0000



4
Lattice="-1.0129 -1.6723 3.7628 -3.8182 -1.7498 0.5839 -0.3635 -4.2036 0.4234" Properties=species:S:1:pos:R:3 comment="Fe2CuCl (PBE, optimized geometry)" spacegroup="No. 225" formation_energy_uncorrected_kj_per_mol_atoms=63.30 pbc="T T T"
Cu -2.5973 -3.8128 2.3850
Fe -1.2987 -1.9064 1.1925
Fe -3.8960 -5.7192 3.5776
Cl 0.0000 0.0000 0.0000



18
Lattice="-2.1381 3.3444 10.5265 2.1381 -3.3444 10.5265 2.1381 3.3444 -10.5265" Properties=species:S:1:pos:R:3 comment="Sn2Te2H5 (PBE, optimized geometry)" spacegroup="No. 74" total_energy_ev_per_cell=-55.7 pbc="T T T"
Te 0.0000 0.0000 0.0000
Te 0.0000 0.0000 10.5265
Sn 2.2393 0.0000 2.6998
Sn -0.1012 3.3444 2.6998
H 1.0690 1.6722 9.9708
H 1.0690 1.6722 5.2632
H 1.0690 -1.6722 9.9708
H 1.0690 1.6722 0.5557
H 1.0690 1.6722 -2.4975
H 1.0690 1.6722 13.0240
H 1.0690 -1.6722 13.0240
H -1.0690 1.6722 11.0822
Sn -0.1012 3.3444 7.8267
H -1.0690 1.6722 8.0290
H 1.0690 -1.6722 5.2632
Te 0.0907 0.0000 15.7897
Te 2.0474 3.3444 -5.2632
Sn 2.2393 0.0000 7.8267



V, respectively: 181 696 403 120 54 301 Å³/cell.